Here is YU2O6 after structural relaxation from Alexandria. Energies are from PBEsol.

Lattice parameters (Å, degrees): 3.768 5.314 6.489 114.17 106.88 90.00
Atoms (fractional coordinates):
1 O 0.170 0.423 0.340
2 O 0.830 0.083 0.660
3 O 0.500 0.742 0.000
4 O 0.170 0.917 0.340
5 O 0.830 0.577 0.660
6 O 0.500 0.258 0.000
7 Y 0.000 0.000 0.000
8 U 0.665 0.665 0.330
9 U 0.335 0.335 0.670

Output
The calculation puts the magnetic moment at 0.334 μB per atom. For the density, the calculation gives 9.77 Mg/m³. For the total energy, the calculation gives -93.50 eV per cell. Its space-group type is No. 71. For the formation energy without anion corrections, the calculation gives -3.4293 eV per atom.



Here is Y3U2O10 after structural relaxation from Alexandria. Energies are from PBEsol.

Lattice parameters (Å, degrees): 5.287 6.400 6.540 79.35 66.16 65.61
Atoms (fractional coordinates):
1 O 0.144 0.316 0.896
2 O 0.356 0.684 0.104
3 O 0.265 0.500 0.500
4 O 0.644 0.316 0.896
5 O 0.554 0.115 0.292
6 O 0.039 0.115 0.292
7 O 0.856 0.684 0.104
8 O 0.735 0.500 0.500
9 O 0.446 0.885 0.708
10 O 0.961 0.885 0.708
11 Y 0.500 0.000 0.000
12 Y 0.103 0.198 0.596
13 Y 0.897 0.802 0.404
14 U 0.699 0.399 0.204
15 U 0.301 0.601 0.796

Output
The calculation puts the magnetic moment at 0.071 μB per atom. For the density, the calculation gives 8.13 Mg/m³. For the total energy, the calculation gives -149.98 eV per cell. Its space-group type is No. 12. For the formation energy without anion corrections, the calculation gives -3.5136 eV per atom.



Here is VO after structural relaxation from Alexandria. Energies are from PBEsol.

Lattice parameters (Å, degrees): 2.632 2.632 5.910 90.01 102.85 120.00
Atoms (fractional coordinates):
1 V 0.000 0.250 0.250
2 V 0.000 0.750 0.750
3 O 0.500 0.500 0.000
4 O 0.500 0.000 0.500

Output
The calculation puts the magnetic moment at 0.000 μB per atom. For the density, the calculation gives 6.49 Mg/m³. For the total energy, the calculation gives -36.59 eV per cell. Its space-group type is No. 166. For the formation energy without anion corrections, the calculation gives -1.7062 eV per atom.



Here is V4O9 after structural relaxation from Alexandria. Energies are from PBEsol.

Lattice parameters (Å, degrees): 3.633 9.456 16.930 90.00 90.00 90.00
Atoms (fractional coordinates):
1 O 0.250 0.557 0.186
2 O 0.750 0.946 0.561
3 O 0.750 0.654 0.915
4 O 0.750 0.346 0.655
5 O 0.250 0.786 0.533
6 O 0.250 0.202 0.736
7 O 0.750 0.846 0.415
8 O 0.750 0.861 0.113
9 O 0.750 0.798 0.264
10 O 0.250 0.103 0.042
11 O 0.250 0.505 0.702
12 O 0.250 0.397 0.542
13 O 0.250 0.943 0.686
14 O 0.250 0.054 0.439
15 O 0.750 0.286 0.967
16 O 0.750 0.005 0.798
17 O 0.250 0.346 0.085
18 O 0.250 0.446 0.939
19 O 0.750 0.154 0.155
20 O 0.250 0.298 0.236
21 O 0.250 0.361 0.387
22 O 0.750 0.057 0.314
23 O 0.750 0.639 0.613
24 O 0.750 0.897 0.958
25 O 0.250 0.995 0.202
26 O 0.250 0.714 0.033
27 O 0.750 0.603 0.458
28 O 0.750 0.554 0.061
29 O 0.750 0.443 0.814
30 O 0.250 0.654 0.345
31 O 0.750 0.702 0.764
32 O 0.750 0.214 0.467
33 O 0.750 0.495 0.298
34 O 0.250 0.154 0.585
35 O 0.250 0.139 0.887
36 O 0.250 0.846 0.845
37 V 0.750 0.822 0.851
38 V 0.750 0.768 0.027
39 V 0.250 0.968 0.590
40 V 0.250 0.053 0.791
41 V 0.250 0.322 0.649
42 V 0.250 0.268 0.473
43 V 0.250 0.232 0.973
44 V 0.750 0.732 0.527
45 V 0.250 0.532 0.090
46 V 0.750 0.553 0.709
47 V 0.750 0.678 0.351
48 V 0.250 0.447 0.291
49 V 0.750 0.032 0.410
50 V 0.250 0.178 0.149
51 V 0.750 0.947 0.209
52 V 0.750 0.468 0.910

Output
The calculation puts the magnetic moment at 0.137 μB per atom. For the density, the calculation gives 3.97 Mg/m³. For the total energy, the calculation gives -464.93 eV per cell. Its space-group type is No. 62. For the formation energy without anion corrections, the calculation gives -2.3423 eV per atom.